[1]
Entry from Alexandria: crystalline NaMnCuSe2 at its relaxed geometry (GGA-PBE).

It has space group P2/c (No. 13), with a = 6.903 Å, b = 4.946 Å, c = 6.875 Å, α = 90.00°, β = 101.56° and γ = 90.00°. The asymmetric unit holds Na at (0.000, 0.183, 0.250), Mn at (0.500, 0.499, 0.750), Cu at (0.500, 0.000, 0.000) and Se at (0.248, 0.304, 0.950).

Its final energy is -4.8337 eV/atom. The value obtained for the raw formation energy is -0.523 eV per atom. The energy relative to the lowest polymorph listed for this composition is 0.0498 eV per atom. The magnetization comes out at 5.0 μB per formula unit.

=====

[2]
Entry from Alexandria: crystalline NaMnCuSe2 at its relaxed geometry (GGA-PBE).

It has space group P3m1 (No. 156), with a = 4.1321 Å, b = 4.1321 Å, c = 7.2231 Å, α = 90.00°, β = 90.00° and γ = 120.00°. The asymmetric unit holds Na at (0.0000, 0.0000, 0.0000), Mn at (0.6667, 0.3333, 0.4102), Cu at (0.3333, 0.6667, 0.6369), Se at (0.3333, 0.6667, 0.2760) and Se at (0.6667, 0.3333, 0.7520).

Its final energy is -4.8836 eV/atom. The value obtained for the raw formation energy is -0.573 eV per atom. The energy relative to the lowest polymorph listed for this composition is 0.0000 eV per atom. The magnetization comes out at 5.0 μB per formula unit.

=====

[3]
Entry from Alexandria: crystalline Na2TaMnCu at its relaxed geometry (GGA-PBE).

It has space group P4/mmm (No. 123), with a = 5.729 Å, b = 5.729 Å, c = 4.770 Å, α = 90.00°, β = 90.00° and γ = 90.00°. The asymmetric unit holds Na at (0.000, 0.500, 0.000), Ta at (0.000, 0.000, 0.000), Mn at (0.500, 0.500, 0.500) and Cu at (0.000, 0.000, 0.500).

Its final energy is -3.7382 eV/atom. The formation energy comes out at 175 kJ per mole of atoms. The magnetization comes out at 1.8 μB per formula unit.

=====

[4]
Entry from Alexandria: crystalline Na2MnCu2Te4 at its relaxed geometry (GGA-PBE).

It has space group C2/m (No. 12), with a = 15.655 Å, b = 4.105 Å, c = 7.523 Å, α = 90.00°, β = 113.09° and γ = 90.00°. The asymmetric unit holds Na at (0.135, 0.000, 0.082), Mn at (0.000, 0.000, 0.500), Cu at (0.194, 0.500, 0.483), Te at (0.015, 0.500, 0.260) and Te at (0.194, 0.000, 0.703).

Its final energy is -4.0013 eV/atom. The value obtained for the raw formation energy is -0.383 eV per atom. The magnetization comes out at 3.4 μB per formula unit.

=====

[5]
Entry from Alexandria: crystalline NaMnCuTe2 at its relaxed geometry (GGA-PBE).

It has space group P2/c (No. 13), with a = 7.445 Å, b = 5.145 Å, c = 7.403 Å, α = 90.00°, β = 100.90° and γ = 90.00°. The asymmetric unit holds Na at (0.000, 0.175, 0.250), Mn at (0.500, 0.490, 0.250), Cu at (0.500, 0.000, 0.000) and Te at (0.245, 0.308, 0.949).

Its final energy is -4.4494 eV/atom. The value obtained for the raw formation energy is -0.276 eV per atom. The magnetization comes out at 5.0 μB per formula unit.

=====

[6]
Entry from Alexandria: crystalline NaMnZnCu2 at its relaxed geometry (GGA-PBE).

It has space group P4/mmm (No. 123), with a = 4.638 Å, b = 4.638 Å, c = 4.768 Å, α = 90.00°, β = 90.00° and γ = 90.00°. The asymmetric unit holds Na at (0.000, 0.000, 0.000), Mn at (0.500, 0.500, 0.000), Zn at (0.500, 0.500, 0.500) and Cu at (0.000, 0.500, 0.500).

Its final energy is -3.3628 eV/atom. The formation energy comes out at 61 kJ per mole of atoms. The magnetization comes out at 4.3 μB per formula unit.

=====

[7]
Entry from Alexandria: crystalline Mn3NbCu at its relaxed geometry (GGA-PBE).

It has space group Pm-3m (No. 221), with a = 4.440 Å, b = 4.440 Å, c = 4.440 Å, α = 90.00°, β = 90.00° and γ = 90.00°. The asymmetric unit holds Mn at (0.000, 0.000, 0.500), Nb at (0.500, 0.500, 0.500) and Cu at (0.000, 0.000, 0.000).

Its final energy is -7.2983 eV/atom. The energy relative to the lowest polymorph listed for this composition is 0.0000 eV per atom. The formation energy comes out at 100 kJ per mole of atoms. The magnetization comes out at 8.8 μB per formula unit.

=====

[8]
Entry from Alexandria: crystalline MnNb2Cu at its relaxed geometry (GGA-PBE).

It has space group Fm-3m (No. 225), with a = 6.213 Å, b = 6.213 Å, c = 6.213 Å, α = 90.00°, β = 90.00° and γ = 90.00°. The asymmetric unit holds Mn at (0.000, 0.000, 0.000), Nb at (0.250, 0.250, 0.250) and Cu at (0.000, 0.000, 0.500).

Its final energy is -8.2522 eV/atom. The energy relative to the lowest polymorph listed for this composition is 0.0460 eV per atom. The formation energy comes out at 10 kJ per mole of atoms. The magnetization comes out at 0.0 μB per formula unit.

=====

[9]
Entry from Alexandria: crystalline MnNbCu at its relaxed geometry (GGA-PBE).

It has space group R-3m (No. 166, hexagonal axes), with a = 4.1510 Å, b = 4.1510 Å, c = 18.6033 Å, α = 90.00°, β = 90.00° and γ = 120.00°. The asymmetric unit holds Mn at (0.0000, 0.0000, 0.2033), Nb at (0.0000, 0.0000, 0.0794) and Cu at (0.0000, 0.0000, 0.3455).

Its final energy is -7.2723 eV/atom. The formation energy comes out at 49 kJ per mole of atoms. The magnetization comes out at 0.7 μB per formula unit.

=====

[10]
Entry from Alexandria: crystalline MnNb2Cu at its relaxed geometry (GGA-PBE).

It has space group I-42d (No. 122), with a = 6.890 Å, b = 6.890 Å, c = 5.353 Å, α = 90.00°, β = 90.00° and γ = 90.00°. The asymmetric unit holds Mn at (0.000, 0.000, 0.000), Nb at (0.228, 0.250, 0.125) and Cu at (0.000, 0.000, 0.500).

Its final energy is -7.8539 eV/atom. The energy relative to the lowest polymorph listed for this composition is 0.4443 eV per atom. The formation energy comes out at 48 kJ per mole of atoms. The magnetization comes out at 0.0 μB per formula unit.

=====

[11]
Entry from Alexandria: crystalline MnNb2Cu at its relaxed geometry (GGA-PBE).

It has space group P4/mmm (No. 123), with a = 3.067 Å, b = 3.067 Å, c = 6.368 Å, α = 90.00°, β = 90.00° and γ = 90.00°. The asymmetric unit holds Mn at (0.000, 0.000, 0.000), Nb at (0.500, 0.500, 0.238) and Cu at (0.000, 0.000, 0.500).

Its final energy is -8.2982 eV/atom. The energy relative to the lowest polymorph listed for this composition is 0.0000 eV per atom. The formation energy comes out at 5 kJ per mole of atoms. The magnetization comes out at 0.0 μB per formula unit.

=====

[12]
Entry from Alexandria: crystalline MnNb3Cu at its relaxed geometry (GGA-PBE).

It has space group Pm-3m (No. 221), with a = 4.600 Å, b = 4.600 Å, c = 4.600 Å, α = 90.00°, β = 90.00° and γ = 90.00°. The asymmetric unit holds Mn at (0.000, 0.000, 0.000), Nb at (0.000, 0.500, 0.500) and Cu at (0.500, 0.500, 0.500).

Its final energy is -7.1437 eV/atom. The energy relative to the lowest polymorph listed for this composition is 0.6966 eV per atom. The formation energy comes out at 150 kJ per mole of atoms. The magnetization comes out at 0.0 μB per formula unit.

=====

[13]
Entry from Alexandria: crystalline Mn3NbCu at its relaxed geometry (GGA-PBE).

It has space group Pm-3m (No. 221), with a = 4.662 Å, b = 4.662 Å, c = 4.662 Å, α = 90.00°, β = 90.00° and γ = 90.00°. The asymmetric unit holds Mn at (0.000, 0.000, 0.500), Nb at (0.000, 0.000, 0.000) and Cu at (0.500, 0.500, 0.500).

Its final energy is -6.8592 eV/atom. The energy relative to the lowest polymorph listed for this composition is 0.4391 eV per atom. The formation energy comes out at 142 kJ per mole of atoms. The magnetization comes out at 8.5 μB per formula unit.

=====

[14]
Entry from Alexandria: crystalline MnNbCu3 at its relaxed geometry (GGA-PBE).

It has space group Pm-3m (No. 221), with a = 4.296 Å, b = 4.296 Å, c = 4.296 Å, α = 90.00°, β = 90.00° and γ = 90.00°. The asymmetric unit holds Mn at (0.000, 0.000, 0.000), Nb at (0.500, 0.500, 0.500) and Cu at (0.000, 0.000, 0.500).

Its final energy is -5.0604 eV/atom. The energy relative to the lowest polymorph listed for this composition is 0.0000 eV per atom. The formation energy comes out at 120 kJ per mole of atoms. The magnetization comes out at 0.0 μB per formula unit.

=====

[15]
Entry from Alexandria: crystalline Mn4NbCu at its relaxed geometry (GGA-PBE).

It has space group F-43m (No. 216), with a = 6.681 Å, b = 6.681 Å, c = 6.681 Å, α = 90.00°, β = 90.00° and γ = 90.00°. The asymmetric unit holds Mn at (0.124, 0.124, 0.124), Nb at (0.000, 0.000, 0.500) and Cu at (0.250, 0.250, 0.750).

Its final energy is -8.4310 eV/atom. The formation energy comes out at 4 kJ per mole of atoms. The magnetization comes out at 1.5 μB per formula unit.

=====

[16]
Entry from Alexandria: crystalline MnNb2Cu at its relaxed geometry (GGA-PBE).

It has space group R-3m (No. 166, hexagonal axes), with a = 2.7788 Å, b = 2.7788 Å, c = 29.0192 Å, α = 90.00°, β = 90.00° and γ = 120.00°. The asymmetric unit holds Mn at (0.0000, 0.0000, 0.0000), Nb at (0.0000, 0.0000, 0.0864) and Cu at (0.0000, 0.0000, 0.5000).

Its final energy is -7.8234 eV/atom. The energy relative to the lowest polymorph listed for this composition is 0.4748 eV per atom. The formation energy comes out at 51 kJ per mole of atoms. The magnetization comes out at 1.9 μB per formula unit.

=====

[17]
Entry from Alexandria: crystalline MnNb3Cu at its relaxed geometry (GGA-PBE).

It has space group Pm-3m (No. 221), with a = 4.567 Å, b = 4.567 Å, c = 4.567 Å, α = 90.00°, β = 90.00° and γ = 90.00°. The asymmetric unit holds Mn at (0.000, 0.000, 0.000), Nb at (0.000, 0.000, 0.500) and Cu at (0.500, 0.500, 0.500).

Its final energy is -7.8403 eV/atom. The energy relative to the lowest polymorph listed for this composition is 0.0000 eV per atom. The formation energy comes out at 82 kJ per mole of atoms. The magnetization comes out at 0.0 μB per formula unit.

=====

[18]
Entry from Alexandria: crystalline Mn2Nb2Cu at its relaxed geometry (GGA-PBE).

It has space group P4/mbm (No. 127), with a = 6.247 Å, b = 6.247 Å, c = 3.718 Å, α = 90.00°, β = 90.00° and γ = 90.00°. The asymmetric unit holds Mn at (0.116, 0.384, 0.000), Nb at (0.192, 0.692, 0.500) and Cu at (0.000, 0.000, 0.000).

Its final energy is -8.3557 eV/atom. The formation energy comes out at 15 kJ per mole of atoms. The magnetization comes out at 0.0 μB per formula unit.

=====

[19]
Entry from Alexandria: crystalline Mn2NbCuOs at its relaxed geometry (GGA-PBE).

It has space group P4/mmm (No. 123), with a = 4.172 Å, b = 4.172 Å, c = 4.483 Å, α = 90.00°, β = 90.00° and γ = 90.00°. The asymmetric unit holds Mn at (0.000, 0.500, 0.000), Nb at (0.000, 0.000, 0.500), Cu at (0.500, 0.500, 0.000) and Os at (0.500, 0.500, 0.500).

Its final energy is -7.2698 eV/atom. The formation energy comes out at 143 kJ per mole of atoms. The magnetization comes out at 0.0 μB per formula unit.

=====

[20]
Entry from Alexandria: crystalline MnNbCu2Os at its relaxed geometry (GGA-PBE).

It has space group P4/mmm (No. 123), with a = 4.685 Å, b = 4.685 Å, c = 4.719 Å, α = 90.00°, β = 90.00° and γ = 90.00°. The asymmetric unit holds Mn at (0.000, 0.000, 0.000), Nb at (0.500, 0.500, 0.000), Cu at (0.000, 0.500, 0.500) and Os at (0.500, 0.500, 0.500).

Its final energy is -6.4646 eV/atom. The formation energy comes out at 122 kJ per mole of atoms. The magnetization comes out at 4.0 μB per formula unit.